Compound: Tb7Dy2Tm3
Source: the Alexandria database
Functional: GGA-PBE
Structure: relaxed

POSCAR file:
```
Tb7Dy2Tm3
1.0
5.734 0.000 0.000
0.000 3.558 0.000
-1.217 0.000 18.519
Tb Dy Tm
7 2 3
direct
0.000 0.000 0.000
0.180 0.500 0.180
0.258 0.500 0.536
0.323 0.000 0.856
0.677 0.000 0.144
0.742 0.500 0.464
0.820 0.500 0.820
0.295 0.500 0.704
0.705 0.500 0.296
0.218 0.000 0.368
0.500 0.500 0.000
0.782 0.000 0.632
```

ΔE_f = 0.09 eV per atom
calculated volume = 378 Å³/cell
energy relative to the lowest polymorph listed for this composition = 0.000 eV/atom
M_tot = 0.00 μB/cell
DOS at the Fermi energy = 14.86 states/eV/cell
DFT total energy = -4.50 eV/atom